Record 1
The following is a GGA-PBE calculation of a geometry-optimized CoAgRu2 structure, from Alexandria via LeMat-Bulk.

## Properties
DFT total energy = -6.68 eV/atom
Formation energy = 1.78 eV/f.u.
SG = Immm (71)
Calculated volume = 57 Å³/cell

a = 5.4337 Å, b = 5.4337 Å, c = 5.4337 Å
α = 151.04°, β = 131.86°, γ = 57.16°
With the nearest neighbours (Å) after each atom.
Fractional positions:
1 Co 0.0000 0.0000 0.0000  4 Ru 2.47, 4 Ag 2.60, 2 Co 2.72
2 Ag 0.5000 0.5000 0.0000  4 Co 2.60, 2 Ag 2.72
3 Ru 0.2165 0.7165 0.5000  2 Co 2.47, 6 Ru 2.68-2.72
4 Ru 0.7835 0.2835 0.5000  2 Co 2.47, 6 Ru 2.68-2.72

***

Record 2
The following is a GGA-PBE calculation of a geometry-optimized Sn2RhI structure, from Alexandria via LeMat-Bulk.

## Properties
DFT total energy = -3.77 eV/atom
SG = Fm-3m (225)
Relative energy among the computed polymorphs = 2.72 eV/f.u.
Calculated volume = 99 Å³/cell
Formation energy (no corrections) = 0.4596 eV/atom

a = 5.1900 Å, b = 5.1900 Å, c = 5.1900 Å
α = 60.00°, β = 60.00°, γ = 60.00°
With the nearest neighbours (Å) after each atom.
Fractional positions:
1 Sn 0.2500 0.2500 0.2500  4 I 3.18, 4 Rh 3.18
2 Sn 0.7500 0.7500 0.7500  4 I 3.18, 4 Rh 3.18
3 Rh 0.0000 0.0000 0.0000  8 Sn 3.18
4 I 0.5000 0.5000 0.5000  8 Sn 3.18

***

Record 3
The following is a GGA-PBE calculation of a geometry-optimized K2Tl3InPb4 structure, from Alexandria via LeMat-Bulk.

## Properties
DFT total energy = -2.75 eV/atom
Formation energy = -0.64 eV/f.u.
SG = P-4m2 (115)
Calculated volume = 358 Å³/cell

a = 4.8651 Å, b = 4.8651 Å, c = 15.1199 Å
α = 90.00°, β = 90.00°, γ = 90.00°
With the nearest neighbours (Å) after each atom.
Fractional positions:
1 K 0.0000 0.5000 0.2449  4 Tl 3.81, 4 Pb 3.83
2 K 0.5000 0.0000 0.7551  4 Tl 3.81, 4 Pb 3.83
3 Tl 0.0000 0.0000 0.0000  4 Pb 3.17, 4 In 3.44
4 Tl 0.0000 0.5000 0.6462  5 Pb 3.29-3.32
5 Tl 0.5000 0.0000 0.3538  5 Pb 3.29-3.32
6 In 0.5000 0.5000 0.0000  4 Pb 3.17, 4 Tl 3.44
7 Pb 0.0000 0.0000 0.5000  4 Tl 3.29, 4 Pb 3.44
8 Pb 0.0000 0.5000 0.8659  3 Tl 3.17-3.32, 2 In 3.17
9 Pb 0.5000 0.0000 0.1341  3 Tl 3.17-3.32, 2 In 3.17
10 Pb 0.5000 0.5000 0.5000  4 Tl 3.29, 4 Pb 3.44

***

Record 4
The following is a GGA-PBE calculation of a geometry-optimized Mg3Al2Cu4 structure, from Alexandria via LeMat-Bulk.

## Properties
DFT total energy = -3.40 eV/atom
Formation energy = -1.98 eV/f.u.
SG = P-1 (2)
Relative energy among the computed polymorphs = 0.02 eV/f.u.
Calculated volume = 277 Å³/cell

a = 5.0179 Å, b = 5.0678 Å, c = 12.4836 Å
α = 89.45°, β = 88.97°, γ = 60.62°
With the nearest neighbours (Å) after each atom.
Fractional positions:
1 Mg 0.0019 0.0070 0.3711  7 Cu 2.91-3.02, 5 Al 2.98-3.03, 4 Mg 3.05-3.22
2 Mg 0.3283 0.3440 0.2885  8 Cu 2.92-3.02, 4 Al 2.96-3.05, 4 Mg 3.05-3.14
3 Mg 0.3345 0.3345 0.0407  9 Cu 2.94-3.00, 3 Al 2.98-2.99, 4 Mg 3.04-3.12
4 Mg 0.6655 0.6655 0.9593  9 Cu 2.94-3.00, 3 Al 2.98-2.99, 4 Mg 3.04-3.12
5 Mg 0.6717 0.6560 0.7115  8 Cu 2.92-3.02, 4 Al 2.96-3.05, 4 Mg 3.05-3.14
6 Mg 0.9981 0.9930 0.6289  7 Cu 2.91-3.02, 5 Al 2.98-3.03, 4 Mg 3.05-3.22
7 Al 0.1693 0.1631 0.8340  6 Cu 2.50-2.53
8 Al 0.5000 0.0000 0.5000  2 Al 2.53, 4 Cu 2.54-2.55
9 Al 0.5000 0.5000 0.5000  4 Cu 2.51-2.52, 2 Al 2.53
10 Al 0.8307 0.8369 0.1660  6 Cu 2.50-2.53
11 Cu 0.0000 0.0000 0.0000  2 Al 2.51, 4 Cu 2.55
12 Cu 0.0000 0.5000 0.5000  4 Al 2.51-2.55, 2 Cu 2.57
13 Cu 0.1677 0.6637 0.8340  2 Al 2.53, 4 Cu 2.54-2.56
14 Cu 0.3321 0.8359 0.1666  2 Al 2.50-2.51, 4 Cu 2.54-2.56
15 Cu 0.3354 0.3292 0.6668  3 Al 2.52-2.54, 3 Cu 2.56-2.57
16 Cu 0.6646 0.6708 0.3332  3 Al 2.52-2.54, 3 Cu 2.56-2.57
17 Cu 0.6679 0.1641 0.8334  2 Al 2.50-2.51, 4 Cu 2.54-2.56
18 Cu 0.8323 0.3363 0.1660  2 Al 2.53, 4 Cu 2.54-2.56